(1)
Here is a geometry-optimized Pu2ZnSn3Pt4 structure from Alexandria via LeMat-Bulk. Energies are from PBE.

Lattice parameters (Å, degrees): 4.217 4.217 12.008 90.00 90.00 90.00
Positions (direct):
Pu (0.000, 0.500, 0.234)
Pu (0.500, 0.000, 0.766)
Zn (0.500, 0.500, 0.000)
Sn (0.000, 0.000, 0.000)
Sn (0.000, 0.500, 0.638)
Sn (0.500, 0.000, 0.362)
Pt (0.000, 0.000, 0.500)
Pt (0.000, 0.500, 0.858)
Pt (0.500, 0.000, 0.142)
Pt (0.500, 0.500, 0.500)

Properties
space group	No. 115
formation enthalpy at 0 K	-0.582	eV per atom
size of the total moment	1.134	μB per atom


(2)
Here is a geometry-optimized SrPuPt10 structure from Alexandria via LeMat-Bulk. Energies are from PBE.

Lattice parameters (Å, degrees): 4.416 5.444 9.406 90.00 90.00 90.00
Positions (direct):
Sr (0.000, 0.000, 0.000)
Pu (0.000, 0.500, 0.500)
Pt (0.000, 0.000, 0.337)
Pt (0.000, 0.000, 0.663)
Pt (0.000, 0.500, 0.173)
Pt (0.000, 0.500, 0.827)
Pt (0.500, 0.000, 0.500)
Pt (0.500, 0.252, 0.254)
Pt (0.500, 0.252, 0.746)
Pt (0.500, 0.500, 0.000)
Pt (0.500, 0.748, 0.254)
Pt (0.500, 0.748, 0.746)

Properties
space group	No. 47
formation enthalpy at 0 K	-0.543	eV per atom
size of the total moment	0.398	μB per atom


(3)
Here is a geometry-optimized SrPu2Pt3 structure from Alexandria via LeMat-Bulk. Energies are from PBE.

Lattice parameters (Å, degrees): 3.552 3.552 10.908 90.00 90.00 90.00
Positions (direct):
Sr (0.000, 0.000, 0.000)
Pu (0.000, 0.000, 0.341)
Pu (0.000, 0.000, 0.659)
Pt (0.500, 0.500, 0.195)
Pt (0.500, 0.500, 0.500)
Pt (0.500, 0.500, 0.805)

Properties
space group	No. 123
formation enthalpy at 0 K	-0.752	eV per atom
size of the total moment	1.810	μB per atom


(4)
Here is a geometry-optimized SrPu3Pt3 structure from Alexandria via LeMat-Bulk. Energies are from PBE.

Lattice parameters (Å, degrees): 7.780 7.780 7.780 90.00 90.00 90.00
Positions (direct):
Sr (0.000, 0.000, 0.000)
Sr (0.500, 0.500, 0.500)
Pu (0.000, 0.250, 0.500)
Pu (0.000, 0.750, 0.500)
Pu (0.250, 0.500, 0.000)
Pu (0.500, 0.000, 0.250)
Pu (0.500, 0.000, 0.750)
Pu (0.750, 0.500, 0.000)
Pt (0.000, 0.500, 0.250)
Pt (0.000, 0.500, 0.750)
Pt (0.250, 0.000, 0.500)
Pt (0.500, 0.250, 0.000)
Pt (0.500, 0.750, 0.000)
Pt (0.750, 0.000, 0.500)

Properties
space group	No. 223
formation enthalpy at 0 K	-0.192	eV per atom
size of the total moment	2.374	μB per atom


(5)
Here is a geometry-optimized Sr2PuPt structure from Alexandria via LeMat-Bulk. Energies are from PBE.

Lattice parameters (Å, degrees): 11.512 11.512 11.512 19.94 19.94 19.94
Positions (direct):
Sr (0.112, 0.112, 0.112)
Sr (0.888, 0.888, 0.888)
Pu (0.000, 0.000, 0.000)
Pt (0.500, 0.500, 0.500)

Properties
space group	No. 166
formation enthalpy at 0 K	0.016	eV per atom
size of the total moment	1.714	μB per atom


(6)
Here is a geometry-optimized Sr2Pu3Pt4 structure from Alexandria via LeMat-Bulk. Energies are from PBE.

Lattice parameters (Å, degrees): 7.841 7.864 7.745 90.00 109.92 90.00
Positions (direct):
Sr (0.187, 0.174, 0.065)
Sr (0.187, 0.326, 0.565)
Sr (0.813, 0.674, 0.435)
Sr (0.813, 0.826, 0.935)
Pu (0.249, 0.664, 0.247)
Pu (0.249, 0.836, 0.747)
Pu (0.500, 0.000, 0.500)
Pu (0.500, 0.500, 0.000)
Pu (0.751, 0.164, 0.253)
Pu (0.751, 0.336, 0.753)
Pt (0.090, 0.546, 0.864)
Pt (0.090, 0.954, 0.364)
Pt (0.494, 0.630, 0.629)
Pt (0.494, 0.870, 0.129)
Pt (0.506, 0.130, 0.871)
Pt (0.506, 0.370, 0.371)
Pt (0.910, 0.046, 0.636)
Pt (0.910, 0.454, 0.136)

Properties
space group	No. 14
formation enthalpy at 0 K	-0.780	eV per atom
size of the total moment	1.846	μB per atom